HfAu2N2 after structural relaxation. Source: the Alexandria database, functional PBE.

Computed properties:
As for the energy: -5.400 eV/atom. The energy above the most stable polymorph in this dataset is 135.7 meV per atom. Its density of states at the Fermi level is 6.00 states/eV per cell.

POSCAR file:
```
HfAu2N2
1.0
6.995 0.000 0.000
0.000 6.995 0.000
0.000 0.000 3.028
N Au Hf
4 4 2
direct
0.296 0.204 0.500
0.704 0.796 0.500
0.204 0.704 0.500
0.796 0.296 0.500
0.371 0.871 0.000
0.629 0.129 0.000
0.129 0.371 0.000
0.871 0.629 0.000
0.000 0.000 0.000
0.500 0.500 0.000
```